The following is a PBE-GGA calculation of an optimized crystal structure of Dy2Y6Er, from Alexandria.

The calculation puts the polymorph energy (0 for the lowest one) at 0.40 eV/f.u.

The space group is C2/c (No. 15) and the conventional cell measures 13.3645, 11.6934 and 9.0167 Å, with angles of 90.00, 125.10 and 90.00 degrees. The distinct sites, in fractional coordinates, are Dy at (0.1078, 0.1721, 0.1950), Y at (0.0828, 0.3889, 0.4875), Y at (0.1527, 0.3490, 0.9070), Y at (0.2047, 0.0912, 0.6313) and Er at (0.0000, 0.0844, 0.7500).



The following is a PBE-GGA calculation of an optimized crystal structure of Dy3Bi2Sb, from Alexandria.

Its formation energy from raw total energies is -5.7 eV/f.u.

The space group is Immm (No. 71) and the conventional cell measures 4.4415, 6.2808 and 13.3427 Å, with angles of 90.00, 90.00 and 90.00 degrees. The distinct sites, in fractional coordinates, are Dy at (0.0000, 0.0000, 0.0000), Dy at (0.0000, 0.0000, 0.3373), Bi at (0.0000, 0.5000, 0.3320) and Sb at (0.0000, 0.5000, 0.0000).



The following is a PBE-GGA calculation of an optimized crystal structure of Pr3SmHoTm, from Alexandria.

The space group is Cmcm (No. 63) and the conventional cell measures 5.1283, 15.4469 and 10.2518 Å, with angles of 90.00, 90.00 and 90.00 degrees. The distinct sites, in fractional coordinates, are Pr at (0.0000, 0.1656, 0.0006), Pr at (0.0000, 0.3333, 0.2500), Sm at (0.0000, 0.5000, 0.0000), Ho at (0.0000, 0.0019, 0.2500) and Tm at (0.0000, 0.3354, 0.7500).



The following is a PBE-GGA calculation of an optimized crystal structure of Y4TlGe2, from Alexandria.

The space group is Fddd (No. 70, origin choice 2) and the conventional cell measures 9.3762, 12.2879 and 14.1452 Å, with angles of 90.00, 90.00 and 90.00 degrees. The distinct sites, in fractional coordinates, are Y at (0.0463, 0.2701, 0.4554), Tl at (0.1250, 0.1250, 0.6250) and Ge at (0.0000, 0.0000, 0.0000).



The following is a PBE-GGA calculation of an optimized crystal structure of NiRu2Rh, from Alexandria.

The calculation puts the polymorph energy (0 for the lowest one) at 0.26 eV/f.u.

The space group is I4/mmm (No. 139) and the conventional cell measures 3.7168, 3.7168 and 7.7351 Å, with angles of 90.00, 90.00 and 90.00 degrees. The distinct sites, in fractional coordinates, are Ni at (0.0000, 0.0000, 0.0000), Ru at (0.0000, 0.5000, 0.2500) and Rh at (0.0000, 0.0000, 0.5000).



The following is a PBE-GGA calculation of an optimized crystal structure of Tb3Ho8Tl, from Alexandria.

The space group is I-42m (No. 121) and the conventional cell measures 8.5855, 8.5855 and 11.2655 Å, with angles of 90.00, 90.00 and 90.00 degrees. The distinct sites, in fractional coordinates, are Tb at (0.0000, 0.0000, 0.0000), Tb at (0.0000, 0.5000, 0.2500), Ho at (0.1271, 0.1271, 0.7569), Ho at (0.2463, 0.2463, 0.0193) and Tl at (0.0000, 0.0000, 0.5000).



The following is a PBE-GGA calculation of an optimized crystal structure of Nd4Sm2H2Pb3, from Alexandria.

The space group is I4/mmm (No. 139) and the conventional cell measures 4.8180, 4.8180 and 26.1833 Å, with angles of 90.00, 90.00 and 90.00 degrees. The distinct sites, in fractional coordinates, are Nd at (0.0000, 0.5000, 0.0841), Sm at (0.0000, 0.0000, 0.1992), H at (0.0000, 0.0000, 0.1059), Pb at (0.0000, 0.0000, 0.3229) and Pb at (0.0000, 0.0000, 0.5000).



The following is a PBE-GGA calculation of an optimized crystal structure of ZrSc2Ta, from Alexandria.

The space group is R3m (No. 160, hexagonal axes) and the conventional cell measures 3.1367, 3.1367 and 31.2018 Å, with angles of 90.00, 90.00 and 120.00 degrees. The distinct sites, in fractional coordinates, are Zr at (0.0000, 0.0000, 0.0000), Sc at (0.0000, 0.0000, 0.5095), Sc at (0.0000, 0.0000, 0.7504) and Ta at (0.0000, 0.0000, 0.2528).



no.,theoretical density (g/cm³),VASP energy (eV/atom)
1,5.9,-5.771
2,9.2,-5.231
3,7.4,-4.664
4,5.7,-5.859
5,11.3,-7.786
6,8.0,-3.866
7,8.2,-4.646
8,6.8,-8.116